[1]
First-principles (PBE) data for a geometry-optimized UTiMn2 structure, as listed in the Alexandria database.

Summary:
SG ... P4/mmm
Total magnetic moment ... 0.5 μB/f.u.
Density ... 10.9 g/cm3
Formation energy ... -0.0199 eV/atom

Structure (POSCAR):
```
UTiMn2
1.0
-1.988 -0.659 -2.226
1.707 -4.080 -0.316
-2.903 -1.449 3.023
Mn U Ti
2 1 1
Cartesian
0.854 -2.040 -0.158 Mn
-1.452 -0.725 1.511 Mn
-0.994 -0.330 -1.113 U
-1.592 -3.094 0.240 Ti
```



[2]
First-principles (PBE) data for a geometry-optimized EuDyLuSc structure, as listed in the Alexandria database.

Summary:
SG ... F-43m
Total magnetic moment ... 8.2 μB/f.u.
Density ... 7.2 g/cm3
Formation energy ... 0.1843 eV/atom

Structure (POSCAR):
```
EuDyLuSc
1.0
-3.772 -3.679 -1.822
1.181 -3.280 -4.350
0.832 -5.458 0.770
Sc Lu Dy Eu
1 1 1 1
Cartesian
0.000 0.000 0.000 Sc
-0.440 -3.104 -1.350 Lu
-1.320 -9.313 -4.051 Dy
-0.880 -6.209 -2.701 Eu
```